Entry from Alexandria via LeMat-Bulk: a relaxed structure of Rb2HfF7 (PBE).

Magnetization, μB per formula unit: 1.00
ΔE_f (raw), kJ/mol of atoms: -287
Crystal system: tetragonal
SG: No. 139

```
data_Rb2HfF7
_space_group_name_H-M_alt 'P 1'
_space_group_IT_number 1
_cell_length_a 6.6162
_cell_length_b 6.6162
_cell_length_c 6.6162
_cell_angle_alpha 122.11
_cell_angle_beta 122.11
_cell_angle_gamma 86.38
loop_
_space_group_symop_operation_xyz
'x,y,z'
loop_
_atom_site_label
_atom_site_type_symbol
_atom_site_fract_x
_atom_site_fract_y
_atom_site_fract_z
Rb1 Rb 0.2500 0.7500 0.5000
Rb2 Rb 0.7500 0.2500 0.5000
Hf1 Hf 0.0000 0.0000 0.0000
F1 F 0.2075 0.2075 0.0000
F2 F 0.2209 0.2209 0.4418
F3 F 0.2209 0.7791 0.0000
F4 F 0.5000 0.5000 0.0000
F5 F 0.7791 0.2209 0.0000
F6 F 0.7791 0.7791 0.5582
F7 F 0.7925 0.7925 0.0000
```